# YCd3Rh

An optimized crystal structure of YCd3Rh (PBE-GGA, Alexandria).

It has space group Pm-3m (No. 221), with a = 5.685 Å, b = 5.685 Å, c = 5.685 Å, α = 90.00°, β = 90.00° and γ = 90.00°. The distinct sites, in fractional coordinates, are Y at (0.000, 0.000, 0.000), Cd at (0.000, 0.000, 0.500) and Rh at (0.500, 0.500, 0.500).

For the energy above the lowest structure with this stoichiometry, the calculation gives 1713 meV per atom. The calculated formation energy is 1.38 eV per atom. The raw total energy comes out at -1.9303 eV per atom.